Entry 1:
! PBE Al2Si4Rh, relaxed; values from VASP
! formation energy (no corrections): 0.520 eV/atom
! space-group type: I4/mmm (139)
&SYSTEM
  ibrav = 0, nat = 7, ntyp = 3
/
ATOMIC_SPECIES
Al 26.98 Al.upf
Si 28.09 Si.upf
Rh 102.91 Rh.upf
CELL_PARAMETERS angstrom
-2.375 2.375 6.162
2.375 -2.375 6.162
2.375 2.375 -6.162
ATOMIC_POSITIONS angstrom
Al 0.000 0.000 1.345
Al 0.000 0.000 10.980
Si 2.375 0.000 0.000
Si 0.000 0.000 3.769
Si 0.000 2.375 0.000
Si 0.000 0.000 8.556
Rh 0.000 0.000 6.162

Entry 2:
! PBE AlSi2Rh, relaxed; values from VASP
! formation energy (no corrections): -0.226 eV/atom
! space-group type: P4mm (99)
&SYSTEM
  ibrav = 0, nat = 4, ntyp = 3
/
ATOMIC_SPECIES
Al 26.98 Al.upf
Si 28.09 Si.upf
Rh 102.91 Rh.upf
CELL_PARAMETERS angstrom
3.341 0.000 0.000
0.000 3.341 0.000
0.000 0.000 5.074
ATOMIC_POSITIONS angstrom
Al 0.000 0.000 0.000
Si 0.000 0.000 2.580
Si 1.671 1.671 3.660
Rh 1.671 1.671 1.088

Entry 3:
! PBE AlSi2Rh, relaxed; values from VASP
! formation energy (no corrections): -0.259 eV/atom
! space-group type: R3m (160)
&SYSTEM
  ibrav = 0, nat = 4, ntyp = 3
/
ATOMIC_SPECIES
Al 26.98 Al.upf
Si 28.09 Si.upf
Rh 102.91 Rh.upf
CELL_PARAMETERS angstrom
1.500 0.866 7.533
-1.500 0.866 7.533
0.000 -1.732 7.533
ATOMIC_POSITIONS angstrom
Al 0.000 0.000 0.000
Si 0.000 0.000 5.494
Si 0.000 0.000 11.172
Rh 0.000 0.000 16.986

Entry 4:
! PBE Al2SiRh, relaxed; values from VASP
! formation energy (no corrections): -0.336 eV/atom
! space-group type: R3m (160)
&SYSTEM
  ibrav = 0, nat = 4, ntyp = 3
/
ATOMIC_SPECIES
Al 26.98 Al.upf
Si 28.09 Si.upf
Rh 102.91 Rh.upf
CELL_PARAMETERS angstrom
1.476 0.852 8.025
-1.476 0.852 8.025
0.000 -1.704 8.025
ATOMIC_POSITIONS angstrom
Al 0.000 0.000 0.000
Al 0.000 0.000 5.819
Si 0.000 0.000 18.175
Rh 0.000 0.000 11.877

Entry 5:
! PBE AlSi3Rh, relaxed; values from VASP
! formation energy (no corrections): 0.439 eV/atom
! space-group type: Pm-3m (221)
&SYSTEM
  ibrav = 0, nat = 5, ntyp = 3
/
ATOMIC_SPECIES
Al 26.98 Al.upf
Si 28.09 Si.upf
Rh 102.91 Rh.upf
CELL_PARAMETERS angstrom
4.639 0.000 0.000
0.000 4.639 0.000
0.000 0.000 4.639
ATOMIC_POSITIONS angstrom
Al 0.000 0.000 0.000
Si 0.000 2.319 2.319
Si 2.319 0.000 2.319
Si 2.319 2.319 0.000
Rh 2.319 2.319 2.319

Entry 6:
! PBE AlSi2Rh, relaxed; values from VASP
! formation energy (no corrections): 0.149 eV/atom
! space-group type: I-42d (122)
&SYSTEM
  ibrav = 0, nat = 8, ntyp = 3
/
ATOMIC_SPECIES
Al 26.98 Al.upf
Si 28.09 Si.upf
Rh 102.91 Rh.upf
CELL_PARAMETERS angstrom
-2.686 2.686 5.874
2.686 -2.686 5.874
2.686 2.686 -5.874
ATOMIC_POSITIONS angstrom
Al 0.000 0.000 0.000
Al 0.000 2.686 2.937
Si 1.343 -1.147 4.406
Si 1.539 1.343 1.469
Si 1.343 3.833 -1.469
Si 1.147 1.343 7.343
Rh 2.686 0.000 2.937
Rh 0.000 0.000 5.874

Entry 7:
! PBE Sm2Al2SiRh5, relaxed; values from VASP
! formation energy (no corrections): -0.793 eV/atom
! space-group type: P4/mbm (127)
&SYSTEM
  ibrav = 0, nat = 20, ntyp = 4
/
ATOMIC_SPECIES
Sm 150.36 Sm.upf
Al 26.98 Al.upf
Si 28.09 Si.upf
Rh 102.91 Rh.upf
CELL_PARAMETERS angstrom
9.993 0.000 0.000
0.000 9.993 0.000
0.000 0.000 3.364
ATOMIC_POSITIONS angstrom
Sm 1.737 3.259 0.000
Sm 3.259 8.256 0.000
Sm 6.733 1.737 0.000
Sm 8.256 6.733 0.000
Al 1.261 6.257 0.000
Al 3.736 1.261 0.000
Al 6.257 8.732 0.000
Al 8.732 3.736 0.000
Si 0.000 0.000 0.000
Si 4.996 4.996 0.000
Rh 0.000 4.996 1.682
Rh 0.618 8.020 1.682
Rh 1.973 0.618 1.682
Rh 3.023 5.614 1.682
Rh 4.378 3.023 1.682
Rh 4.996 0.000 1.682
Rh 5.614 6.969 1.682
Rh 6.969 4.378 1.682
Rh 8.020 9.375 1.682
Rh 9.375 1.973 1.682

Entry 8:
! PBE Sm2AlSi3Rh4, relaxed; values from VASP
! formation energy (no corrections): -1.041 eV/atom
! space-group type: P-4m2 (115)
&SYSTEM
  ibrav = 0, nat = 10, ntyp = 4
/
ATOMIC_SPECIES
Sm 150.36 Sm.upf
Al 26.98 Al.upf
Si 28.09 Si.upf
Rh 102.91 Rh.upf
CELL_PARAMETERS angstrom
4.159 0.000 0.000
0.000 4.159 0.000
0.000 0.000 9.984
ATOMIC_POSITIONS angstrom
Sm 0.000 2.079 2.497
Sm 2.079 0.000 7.487
Al 0.000 0.000 4.992
Si 0.000 2.079 8.717
Si 2.079 0.000 1.267
Si 2.079 2.079 4.992
Rh 0.000 0.000 0.000
Rh 0.000 2.079 6.328
Rh 2.079 0.000 3.656
Rh 2.079 2.079 0.000

Entry 9:
! PBE Al2SiSnRh, relaxed; values from VASP
! formation energy (no corrections): 0.220 eV/atom
! space-group type: P4/mmm (123)
&SYSTEM
  ibrav = 0, nat = 5, ntyp = 4
/
ATOMIC_SPECIES
Al 26.98 Al.upf
Si 28.09 Si.upf
Sn 118.71 Sn.upf
Rh 102.91 Rh.upf
CELL_PARAMETERS angstrom
4.668 0.000 0.000
0.000 4.668 0.000
0.000 0.000 5.104
ATOMIC_POSITIONS angstrom
Al 0.000 2.334 0.000
Al 2.334 0.000 0.000
Si 0.000 0.000 2.552
Sn 2.334 2.334 2.552
Rh 2.334 2.334 0.000

Entry 10:
! PBE Sr2AlSi2Rh5, relaxed; values from VASP
! formation energy (no corrections): -0.686 eV/atom
! space-group type: P4/mbm (127)
&SYSTEM
  ibrav = 0, nat = 20, ntyp = 4
/
ATOMIC_SPECIES
Sr 87.62 Sr.upf
Al 26.98 Al.upf
Si 28.09 Si.upf
Rh 102.91 Rh.upf
CELL_PARAMETERS angstrom
10.326 0.000 0.000
0.000 10.326 0.000
0.000 0.000 3.197
ATOMIC_POSITIONS angstrom
Sr 1.800 3.363 0.000
Sr 3.363 8.525 0.000
Sr 6.963 1.800 0.000
Sr 8.525 6.963 0.000
Al 0.000 0.000 0.000
Al 5.163 5.163 0.000
Si 1.306 6.469 0.000
Si 3.857 1.306 0.000
Si 6.469 9.020 0.000
Si 9.020 3.857 0.000
Rh 0.000 5.163 1.599
Rh 0.678 8.174 1.599
Rh 2.152 0.678 1.599
Rh 3.011 5.841 1.599
Rh 4.484 3.011 1.599
Rh 5.163 0.000 1.599
Rh 5.841 7.315 1.599
Rh 7.315 4.484 1.599
Rh 8.174 9.647 1.599
Rh 9.647 2.152 1.599

Entry 11:
! PBE Tb2AlSi2Rh5, relaxed; values from VASP
! formation energy (no corrections): -0.985 eV/atom
! space-group type: P4/mbm (127)
&SYSTEM
  ibrav = 0, nat = 20, ntyp = 4
/
ATOMIC_SPECIES
Tb 158.93 Tb.upf
Al 26.98 Al.upf
Si 28.09 Si.upf
Rh 102.91 Rh.upf
CELL_PARAMETERS angstrom
9.749 0.000 0.000
0.000 9.749 0.000
0.000 0.000 3.449
ATOMIC_POSITIONS angstrom
Tb 1.705 3.170 0.000
Tb 3.170 8.044 0.000
Tb 6.580 1.705 0.000
Tb 8.044 6.580 0.000
Al 0.000 0.000 0.000
Al 4.875 4.875 0.000
Si 1.208 6.083 0.000
Si 3.667 1.208 0.000
Si 6.083 8.541 0.000
Si 8.541 3.667 0.000
Rh 0.000 4.875 1.724
Rh 0.660 7.692 1.724
Rh 2.057 0.660 1.724
Rh 2.818 5.535 1.724
Rh 4.215 2.818 1.724
Rh 4.875 0.000 1.724
Rh 5.535 6.932 1.724
Rh 6.932 4.215 1.724
Rh 7.692 9.089 1.724
Rh 9.089 2.057 1.724

Entry 12:
! PBE Tb2Al2SiRh5, relaxed; values from VASP
! formation energy (no corrections): -0.849 eV/atom
! space-group type: P4/mbm (127)
&SYSTEM
  ibrav = 0, nat = 20, ntyp = 4
/
ATOMIC_SPECIES
Tb 158.93 Tb.upf
Al 26.98 Al.upf
Si 28.09 Si.upf
Rh 102.91 Rh.upf
CELL_PARAMETERS angstrom
9.900 0.000 0.000
0.000 9.900 0.000
0.000 0.000 3.360
ATOMIC_POSITIONS angstrom
Tb 1.714 3.236 0.000
Tb 3.236 8.186 0.000
Tb 6.664 1.714 0.000
Tb 8.186 6.664 0.000
Al 1.254 6.204 0.000
Al 3.696 1.254 0.000
Al 6.204 8.646 0.000
Al 8.646 3.696 0.000
Si 0.000 0.000 0.000
Si 4.950 4.950 0.000
Rh 0.000 4.950 1.680
Rh 0.625 7.946 1.680
Rh 1.954 0.625 1.680
Rh 2.996 5.575 1.680
Rh 4.325 2.996 1.680
Rh 4.950 0.000 1.680
Rh 5.575 6.903 1.680
Rh 6.903 4.325 1.680
Rh 7.946 9.275 1.680
Rh 9.275 1.954 1.680

Entry 13:
! PBE Tb2AlSiRh6, relaxed; values from VASP
! formation energy (no corrections): -0.541 eV/atom
! space-group type: Fm-3m (225)
&SYSTEM
  ibrav = 0, nat = 10, ntyp = 4
/
ATOMIC_SPECIES
Tb 158.93 Tb.upf
Al 26.98 Al.upf
Si 28.09 Si.upf
Rh 102.91 Rh.upf
CELL_PARAMETERS angstrom
0.000 4.488 4.488
4.488 0.000 4.488
4.488 4.488 0.000
ATOMIC_POSITIONS angstrom
Tb 2.244 2.244 2.244
Tb 6.731 6.731 6.731
Al 0.000 0.000 0.000
Si 4.488 4.488 4.488
Rh 4.488 4.488 2.276
Rh 4.488 2.276 4.488
Rh 6.699 4.488 4.488
Rh 2.276 4.488 4.488
Rh 4.488 6.699 4.488
Rh 4.488 4.488 6.699